Density functional theory data (PBE) for a geometry-optimized CuHgF4 structure.

Output
energy above the lowest structure with this stoichiometry	16.9	meV/atom

The structure in CIF format:
```
data_CuHgF4
_symmetry_space_group_name_H-M 'C 1 2/c 1'
_symmetry_Int_Tables_number 15
_cell_length_a 6.888
_cell_length_b 10.884
_cell_length_c 5.534
_cell_angle_alpha 90.00
_cell_angle_beta 127.33
_cell_angle_gamma 90.00
loop_
_symmetry_equiv_pos_as_xyz
'x,y,z'
'-x,-y,-z'
'-x,y,-z+1/2'
'x,-y,z+1/2'
'x+1/2,y+1/2,z'
'-x+1/2,-y+1/2,-z'
'-x+1/2,y+1/2,-z+1/2'
'x+1/2,-y+1/2,z+1/2'
loop_
_atom_site_label
_atom_site_type_symbol
_atom_site_fract_x
_atom_site_fract_y
_atom_site_fract_z
Cu1 Cu 0.000 0.102 0.250
Hg1 Hg 0.000 0.371 0.750
F1 F 0.164 0.223 0.180
F2 F 0.229 0.015 0.783
```

---

Density functional theory data (PBE) for a geometry-optimized CuHg2F structure.

Output
energy above the lowest structure with this stoichiometry	79.7	meV/atom
N(E_F)	0.3	states/eV/cell

The structure in CIF format:
```
data_CuHg2F
_symmetry_space_group_name_H-M 'I -4 2 d'
_symmetry_Int_Tables_number 122
_symmetry_space_group_name_Hall 'I -4 2bw'
_cell_length_a 6.911
_cell_length_b 6.911
_cell_length_c 6.526
_cell_angle_alpha 90.00
_cell_angle_beta 90.00
_cell_angle_gamma 90.00
loop_
_atom_site_label
_atom_site_type_symbol
_atom_site_fract_x
_atom_site_fract_y
_atom_site_fract_z
Cu1 Cu 0.000 0.000 0.000
Hg1 Hg 0.245 0.750 0.625
F1 F 0.000 0.000 0.500
```

---

For each record above, in turn, the calculated energy relative to the elements, uncorrected values are -1.4585, -0.3661 eV/atom.